DFT (PBE) results for an optimized crystal structure of Ba2YRe.

Summary:
Total moment: 0.057 μB per atom
DFT total energy: -5.1080 eV per atom
Formation enthalpy at 0 K: 0.581 eV/atom
Energy relative to the lowest polymorph listed for this composition: 26 meV per atom

```
data_Ba2YRe
_cell_length_a 18.878
_cell_length_b 3.534
_cell_length_c 4.781
_cell_angle_alpha 90.00
_cell_angle_beta 104.62
_cell_angle_gamma 90.00
_symmetry_space_group_name_H-M 'C 1 2/m 1'
_symmetry_Int_Tables_number 12
loop_
_symmetry_equiv_pos_as_xyz
'x,y,z'
'-x,-y,-z'
'-x,y,-z'
'x,-y,z'
'x+1/2,y+1/2,z'
'-x+1/2,-y+1/2,-z'
'-x+1/2,y+1/2,-z'
'x+1/2,-y+1/2,z'
loop_
_atom_site_label
_atom_site_fract_x
_atom_site_fract_y
_atom_site_fract_z
_atom_site_occupancy
Ba1 0.151 0.000 0.150 1
Y1 0.000 0.000 0.500 1
Re1 0.000 0.500 0.000 1
```